[1]
The following is a DFT calculation (PBE-GGA) of an optimized crystal structure of SrLi2SnCl8.

abc: 6.4740 6.9065 8.4103
angles: 69.32 88.95 79.59
Last column: nearest neighbours and their distance in Å.
Atoms (fractional coordinates):
Sr 0.0000 0.0000 0.0000  6 Cl 2.86-3.02
Li 0.4709 0.3469 0.1847  4 Cl 2.35-2.51
Li 0.5291 0.6531 0.8153  4 Cl 2.35-2.51
Sn 0.0000 0.0000 0.5000  6 Cl 2.44-2.55
Cl 0.1206 0.2326 0.2177  1 Li 2.51, 1 Sn 2.55
Cl 0.1371 0.2012 0.6511  1 Sn 2.46
Cl 0.3363 0.7578 0.5466  1 Li 2.41, 1 Sn 2.44
Cl 0.3981 0.7210 0.0569  2 Li 2.35-2.38
Cl 0.6019 0.2790 0.9431  2 Li 2.35-2.38
Cl 0.6637 0.2422 0.4534  1 Li 2.41, 1 Sn 2.44
Cl 0.8629 0.7988 0.3489  1 Sn 2.46
Cl 0.8794 0.7674 0.7823  1 Li 2.51, 1 Sn 2.55

ρ, g/cm³: 2.4
N(E_F), states/eV per atom: 0.000
Crystal system: triclinic
E_tot, hartree per atom: -0.133
Total magnetization, μB/f.u.: 0.00
Space-group type: P-1, No. 2
Formation energy from raw total energies, eV per formula unit: -19.0

---

[2]
The following is a DFT calculation (PBE-GGA) of an optimized crystal structure of K2Na9Tl6.

abc: 6.7989 6.7989 15.8378
angles: 90.00 90.00 120.00
Last column: nearest neighbours and their distance in Å.
Atoms (fractional coordinates):
K 0.0000 0.0000 0.1685  6 Tl 3.93, 12 Na 4.30-4.32
K 0.0000 0.0000 0.8315  6 Tl 3.93, 12 Na 4.30-4.32
Na 0.0000 0.5000 0.0000  4 Tl 3.30, 4 Na 3.40
Na 0.0000 0.5000 0.3350  4 Tl 3.27-3.30, 4 Na 3.40
Na 0.0000 0.5000 0.6650  4 Tl 3.27-3.30, 4 Na 3.40
Na 0.5000 0.0000 0.0000  4 Tl 3.30, 4 Na 3.40
Na 0.5000 0.0000 0.3350  4 Tl 3.27-3.30, 4 Na 3.40
Na 0.5000 0.0000 0.6650  4 Tl 3.27-3.30, 4 Na 3.40
Na 0.5000 0.5000 0.0000  4 Tl 3.30, 4 Na 3.40
Na 0.5000 0.5000 0.3350  4 Tl 3.27-3.30, 4 Na 3.40
Na 0.5000 0.5000 0.6650  4 Tl 3.27-3.30, 4 Na 3.40
Tl 0.3333 0.6667 0.1676  6 Na 3.30
Tl 0.3333 0.6667 0.5000  6 Na 3.27
Tl 0.3333 0.6667 0.8324  6 Na 3.30
Tl 0.6667 0.3333 0.1676  6 Na 3.30
Tl 0.6667 0.3333 0.5000  6 Na 3.27
Tl 0.6667 0.3333 0.8324  6 Na 3.30

Formation enthalpy at 0 K, eV/atom: -0.01
ρ, g/cm³: 4.0
N(E_F), states/eV per atom: 0.544
Crystal system: hexagonal
E_tot, hartree per atom: -0.062
Total magnetization, μB/f.u.: 0.00
Space-group type: P6/mmm, No. 191

---

[3]
The following is a DFT calculation (PBE-GGA) of an optimized crystal structure of AgC3Br.

abc: 4.0943 4.0943 4.0943
angles: 90.00 90.00 90.00
Last column: nearest neighbours and their distance in Å.
Atoms (fractional coordinates):
Ag 0.0000 0.0000 0.0000  12 C 2.90
C 0.0000 0.5000 0.5000  2 Br 2.05
C 0.5000 0.0000 0.5000  2 Br 2.05
C 0.5000 0.5000 0.0000  2 Br 2.05
Br 0.5000 0.5000 0.5000  6 C 2.05

Energy relative to the lowest polymorph listed for this composition, kJ/mol of atoms: 20.4
ρ, g/cm³: 5.4
N(E_F), states/eV per atom: 0.263
Crystal system: cubic
E_tot, hartree per atom: -0.106
Total magnetization, μB/f.u.: 0.00
Space-group type: Pm-3m, No. 221
Formation energy from raw total energies, eV per formula unit: 17.8